Material: NaLi3Sn
Method: DFT, GGA-PBE
State: relaxed

Computed properties:
E	-2.31	eV per atom
space-group type	Pm-3m, No. 221
ΔE_f	-10	kJ per mole of atoms
ΔE to the lowest computed polymorph	164	meV per atom

Cell lengths 5.243, 5.243, 5.243 Å; angles 90.00, 90.00, 90.00 degrees
Fractional coordinates of all 5 atoms:
Na 0.000 0.000 0.000
Li 0.000 0.500 0.500
Li 0.500 0.000 0.500
Li 0.500 0.500 0.000
Sn 0.500 0.500 0.500